No. 1
Compound: Ho3Tm4Sc4
Source: Alexandria via LeMat-Bulk
Functional: PBE
Structure: optimized geometry

Computed properties:
As for the space group: No. 71. As for the density: 7.24 Mg/m³. For the density of states at the Fermi level, the calculation gives 1.46 states/eV/atom.

Cell lengths 19.0212, 19.0212, 19.0212 Å; angles 169.67, 165.47, 17.86 degrees
Closest atoms and distances in Å follow each position.
Fractional coordinates of all 11 atoms:
1 Ho 0.0000 0.0000 0.0000  2 Ho 3.43, 8 Tm 3.44, 2 Sc 3.45
2 Ho 0.3628 0.3628 0.0000  5 Tm 3.39-3.44, 5 Sc 3.41-3.43, 2 Ho 3.43
3 Ho 0.6372 0.6372 0.0000  5 Tm 3.39-3.44, 5 Sc 3.41-3.43, 2 Ho 3.43
4 Tm 0.1842 0.1842 0.0000  6 Sc 3.28-3.47, 2 Tm 3.43, 4 Ho 3.44
5 Tm 0.4531 0.4531 0.0000  5 Ho 3.39-3.44, 4 Sc 3.40, 3 Tm 3.43-3.53
6 Tm 0.5469 0.5469 0.0000  5 Ho 3.39-3.44, 4 Sc 3.40, 3 Tm 3.43-3.53
7 Tm 0.8158 0.8158 0.0000  6 Sc 3.28-3.47, 2 Tm 3.43, 4 Ho 3.44
8 Sc 0.0918 0.0918 0.0000  5 Tm 3.40-3.47, 5 Ho 3.41-3.45, 2 Sc 3.43
9 Sc 0.2715 0.2715 0.0000  5 Tm 3.28-3.39, 6 Sc 3.37-3.43, 1 Ho 3.43
10 Sc 0.7285 0.7285 0.0000  5 Tm 3.28-3.39, 6 Sc 3.37-3.43, 1 Ho 3.43
11 Sc 0.9082 0.9082 0.0000  5 Tm 3.40-3.47, 5 Ho 3.41-3.45, 2 Sc 3.43

***

No. 2
Compound: Ho3TmSc3
Source: Alexandria via LeMat-Bulk
Functional: PBE
Structure: optimized geometry

Computed properties:
As for the space group: No. 148. As for the density: 6.46 Mg/m³. For the density of states at the Fermi level, the calculation gives 1.47 states/eV/atom.

Cell lengths 13.9994, 13.9994, 13.9994 Å; angles 24.36, 24.36, 24.36 degrees
Closest atoms and distances in Å follow each position.
Fractional coordinates of all 14 atoms:
1 Ho 0.0967 0.4306 0.7643  3 Sc 3.33, 6 Ho 3.41-3.42, 2 Tm 3.45
2 Ho 0.2357 0.9033 0.5694  3 Sc 3.33, 6 Ho 3.41-3.42, 2 Tm 3.45
3 Ho 0.4306 0.7643 0.0967  3 Sc 3.33, 6 Ho 3.41-3.42, 2 Tm 3.45
4 Ho 0.5694 0.2357 0.9033  3 Sc 3.33, 6 Ho 3.41-3.42, 2 Tm 3.45
5 Ho 0.7643 0.0967 0.4306  3 Sc 3.33, 6 Ho 3.41-3.42, 2 Tm 3.45
6 Ho 0.9033 0.5694 0.2357  3 Sc 3.33, 6 Ho 3.41-3.42, 2 Tm 3.45
7 Tm 0.1667 0.1667 0.1667  3 Tm 3.41, 6 Ho 3.45
8 Tm 0.8333 0.8333 0.8333  3 Tm 3.41, 6 Ho 3.45
9 Sc 0.0322 0.6970 0.3642  9 Sc 3.21-3.42, 3 Ho 3.33
10 Sc 0.3030 0.6358 0.9678  9 Sc 3.21-3.42, 3 Ho 3.33
11 Sc 0.3642 0.0322 0.6970  9 Sc 3.21-3.42, 3 Ho 3.33
12 Sc 0.6358 0.9678 0.3030  9 Sc 3.21-3.42, 3 Ho 3.33
13 Sc 0.6970 0.3642 0.0322  9 Sc 3.21-3.42, 3 Ho 3.33
14 Sc 0.9678 0.3030 0.6358  9 Sc 3.21-3.42, 3 Ho 3.33

***

No. 3
Compound: Ho3Tm4Sc5
Source: Alexandria via LeMat-Bulk
Functional: PBE
Structure: optimized geometry

Computed properties:
As for the space group: No. 12. As for the density: 6.76 Mg/m³. For the density of states at the Fermi level, the calculation gives 1.72 states/eV/atom.

Cell lengths 8.1279, 8.1279, 9.2132 Å; angles 117.96, 117.96, 40.55 degrees
Closest atoms and distances in Å follow each position.
Fractional coordinates of all 12 atoms:
1 Ho 0.0000 0.0000 0.0000  4 Sc 2.82-3.01
2 Ho 0.2702 0.2702 0.7373  5 Sc 3.02-3.24, 2 Tm 3.35-3.36
3 Ho 0.7298 0.7298 0.2627  5 Sc 3.02-3.24, 2 Tm 3.35-3.36
4 Tm 0.2925 0.2925 0.1192  3 Ho 3.36-3.44, 3 Tm 3.40-3.51, 4 Sc 3.46-3.70
5 Tm 0.4147 0.4147 0.5583  6 Sc 3.26-3.60, 2 Tm 3.27-3.51, 1 Ho 3.35
6 Tm 0.5853 0.5853 0.4417  6 Sc 3.26-3.60, 2 Tm 3.27-3.51, 1 Ho 3.35
7 Tm 0.7075 0.7075 0.8808  3 Ho 3.36-3.44, 3 Tm 3.40-3.51, 4 Sc 3.46-3.70
8 Sc 0.0605 0.0605 0.7019  2 Ho 3.05-3.30, 2 Sc 3.22-3.23
9 Sc 0.1676 0.1676 0.3595  4 Ho 3.01-3.24, 1 Sc 3.23, 3 Tm 3.26-3.32
10 Sc 0.5000 0.5000 0.0000  4 Ho 2.82-3.11
11 Sc 0.8324 0.8324 0.6405  4 Ho 3.01-3.24, 1 Sc 3.23, 3 Tm 3.26-3.32
12 Sc 0.9395 0.9395 0.2981  2 Ho 3.05-3.30, 2 Sc 3.22-3.23

***

No. 4
Compound: Ho7TmSc4
Source: Alexandria via LeMat-Bulk
Functional: PBE
Structure: optimized geometry

Computed properties:
As for the space group: No. 2. As for the density: 7.27 Mg/m³. For the density of states at the Fermi level, the calculation gives 1.42 states/eV/atom.

Cell lengths 6.0009, 6.9243, 8.5044 Å; angles 90.07, 103.67, 90.01 degrees
Closest atoms and distances in Å follow each position.
Fractional coordinates of all 12 atoms:
1 Ho 0.0000 0.0000 0.0000  4 Sc 3.41-3.44, 6 Ho 3.43-3.47, 2 Tm 3.46
2 Ho 0.2225 0.4998 0.6637  5 Sc 3.36-3.49, 6 Ho 3.37-3.51, 1 Tm 3.43
3 Ho 0.2834 0.7550 0.3390  6 Sc 3.32-3.53, 5 Ho 3.37-3.51, 1 Tm 3.46
4 Ho 0.4969 0.2459 0.0046  3 Sc 3.40-3.46, 7 Ho 3.41-3.52, 2 Tm 3.45-3.50
5 Ho 0.5031 0.7541 0.9954  3 Sc 3.40-3.46, 7 Ho 3.41-3.52, 2 Tm 3.45-3.50
6 Ho 0.7166 0.2450 0.6610  6 Sc 3.32-3.53, 5 Ho 3.37-3.51, 1 Tm 3.46
7 Ho 0.7775 0.5002 0.3363  5 Sc 3.36-3.49, 6 Ho 3.37-3.51, 1 Tm 3.43
8 Tm 0.0000 0.5000 0.0000  10 Ho 3.43-3.50, 2 Sc 3.44
9 Sc 0.2169 0.0000 0.6604  4 Sc 3.30-3.49, 8 Ho 3.32-3.46
10 Sc 0.2756 0.2458 0.3374  3 Sc 3.32-3.49, 8 Ho 3.34-3.53, 1 Tm 3.44
11 Sc 0.7244 0.7542 0.6626  3 Sc 3.32-3.49, 8 Ho 3.34-3.53, 1 Tm 3.44
12 Sc 0.7831 0.0000 0.3396  4 Sc 3.30-3.49, 8 Ho 3.32-3.46

***

No. 5
Compound: Ho15TmSc4
Source: Alexandria via LeMat-Bulk
Functional: PBE
Structure: optimized geometry

Computed properties:
As for the space group: No. 123. As for the density: 7.94 Mg/m³. For the density of states at the Fermi level, the calculation gives 1.49 states/eV/atom.

Cell lengths 4.9103, 4.9103, 24.4874 Å; angles 90.00, 90.00, 90.00 degrees
Closest atoms and distances in Å follow each position.
Fractional coordinates of all 20 atoms:
1 Ho 0.0000 0.0000 0.0000  4 Tm 3.47, 8 Ho 3.51
2 Ho 0.0000 0.0000 0.2021  8 Ho 3.45-3.46, 4 Sc 3.47
3 Ho 0.0000 0.0000 0.4007  8 Ho 3.46, 4 Sc 3.47
4 Ho 0.0000 0.0000 0.5993  8 Ho 3.46, 4 Sc 3.47
5 Ho 0.0000 0.0000 0.7979  8 Ho 3.45-3.46, 4 Sc 3.47
6 Ho 0.0000 0.5000 0.1025  2 Sc 3.45, 8 Ho 3.46-3.51, 2 Tm 3.51
7 Ho 0.0000 0.5000 0.3013  8 Ho 3.45-3.47, 4 Sc 3.46
8 Ho 0.0000 0.5000 0.5000  8 Ho 3.46-3.47, 4 Sc 3.46
9 Ho 0.0000 0.5000 0.6987  8 Ho 3.45-3.47, 4 Sc 3.46
10 Ho 0.0000 0.5000 0.8975  2 Sc 3.45, 8 Ho 3.46-3.51, 2 Tm 3.51
11 Ho 0.5000 0.0000 0.1025  2 Sc 3.45, 8 Ho 3.46-3.51, 2 Tm 3.51
12 Ho 0.5000 0.0000 0.3013  8 Ho 3.45-3.47, 4 Sc 3.46
13 Ho 0.5000 0.0000 0.5000  8 Ho 3.46-3.47, 4 Sc 3.46
14 Ho 0.5000 0.0000 0.6987  8 Ho 3.45-3.47, 4 Sc 3.46
15 Ho 0.5000 0.0000 0.8975  2 Sc 3.45, 8 Ho 3.46-3.51, 2 Tm 3.51
16 Tm 0.5000 0.5000 0.0000  12 Ho 3.47-3.51
17 Sc 0.5000 0.5000 0.2018  12 Ho 3.45-3.47
18 Sc 0.5000 0.5000 0.4006  12 Ho 3.46-3.47
19 Sc 0.5000 0.5000 0.5994  12 Ho 3.46-3.47
20 Sc 0.5000 0.5000 0.7982  12 Ho 3.45-3.47

***

No. 6
Compound: HoTmSc2
Source: Alexandria via LeMat-Bulk
Functional: PBE
Structure: optimized geometry

Computed properties:
As for the space group: No. 225. As for the density: 6.40 Mg/m³. For the density of states at the Fermi level, the calculation gives 1.82 states/eV/atom.

Cell lengths 5.3766, 5.3766, 5.3766 Å; angles 60.00, 60.00, 60.00 degrees
Closest atoms and distances in Å follow each position.
Fractional coordinates of all 4 atoms:
1 Ho 0.0000 0.0000 0.0000  8 Sc 3.29
2 Tm 0.5000 0.5000 0.5000  8 Sc 3.29
3 Sc 0.2500 0.2500 0.2500  4 Tm 3.29, 4 Ho 3.29
4 Sc 0.7500 0.7500 0.7500  4 Ho 3.29, 4 Tm 3.29

***

No. 7
Compound: Ho6Tm4Sc
Source: Alexandria via LeMat-Bulk
Functional: PBE
Structure: optimized geometry

Computed properties:
As for the space group: No. 63. As for the density: 8.52 Mg/m³. For the density of states at the Fermi level, the calculation gives 1.67 states/eV/atom.

Cell lengths 5.5054, 5.5054, 25.3106 Å; angles 90.00, 90.00, 119.68 degrees
Closest atoms and distances in Å follow each position.
Fractional coordinates of all 22 atoms:
1 Ho 0.0000 0.0000 0.0000  8 Tm 3.08-3.38
2 Ho 0.0000 0.0000 0.5000  8 Tm 3.08-3.38
3 Ho 0.0066 0.9934 0.7500  3 Sc 3.18-3.19, 2 Tm 3.25
4 Ho 0.3267 0.6733 0.1057  6 Tm 3.21-3.58
5 Ho 0.3267 0.6733 0.3943  6 Tm 3.21-3.58
6 Ho 0.3402 0.6598 0.6825  7 Ho 3.42-3.74, 4 Tm 3.52-3.54, 3 Sc 3.60-3.62
7 Ho 0.3402 0.6598 0.8175  7 Ho 3.42-3.74, 4 Tm 3.52-3.54, 3 Sc 3.60-3.62
8 Ho 0.6598 0.3402 0.1825  7 Ho 3.42-3.74, 4 Tm 3.52-3.54, 3 Sc 3.60-3.62
9 Ho 0.6598 0.3402 0.3175  7 Ho 3.42-3.74, 4 Tm 3.52-3.54, 3 Sc 3.60-3.62
10 Ho 0.6733 0.3267 0.6057  6 Tm 3.21-3.58
11 Ho 0.6733 0.3267 0.8943  6 Tm 3.21-3.58
12 Ho 0.9934 0.0066 0.2500  3 Sc 3.18-3.19, 2 Tm 3.25
13 Tm 0.0078 0.9922 0.6217  5 Ho 3.08-3.25
14 Tm 0.0078 0.9922 0.8783  5 Ho 3.08-3.25
15 Tm 0.3358 0.6642 0.5430  7 Ho 3.36-3.58, 1 Tm 3.70
16 Tm 0.3358 0.6642 0.9570  7 Ho 3.36-3.58, 1 Tm 3.70
17 Tm 0.6642 0.3358 0.0430  7 Ho 3.36-3.58, 1 Tm 3.70
18 Tm 0.6642 0.3358 0.4570  7 Ho 3.36-3.58, 1 Tm 3.70
19 Tm 0.9922 0.0078 0.1217  5 Ho 3.08-3.25
20 Tm 0.9922 0.0078 0.3783  5 Ho 3.08-3.25
21 Sc 0.3272 0.6728 0.2500  3 Ho 3.18-3.19
22 Sc 0.6728 0.3272 0.7500  3 Ho 3.18-3.19

***

No. 8
Compound: Ho3TmSc5
Source: Alexandria via LeMat-Bulk
Functional: PBE
Structure: optimized geometry

Computed properties:
As for the space group: No. 140. As for the density: 6.02 Mg/m³. For the density of states at the Fermi level, the calculation gives 1.14 states/eV/atom.

Cell lengths 9.1960, 9.1960, 9.1960 Å; angles 126.13, 126.13, 79.68 degrees
Closest atoms and distances in Å follow each position.
Fractional coordinates of all 18 atoms:
1 Ho 0.1185 0.6185 0.7369  1 Ho 2.79, 2 Sc 2.81
2 Ho 0.2500 0.2500 0.0000  10 Sc 3.40-3.53
3 Ho 0.3815 0.1185 0.5000  1 Ho 2.79, 2 Sc 2.81
4 Ho 0.6185 0.8815 0.5000  1 Ho 2.79, 2 Sc 2.81
5 Ho 0.7500 0.7500 0.0000  10 Sc 3.40-3.53
6 Ho 0.8815 0.3815 0.2631  1 Ho 2.79, 2 Sc 2.81
7 Tm 0.2500 0.7500 0.5000  4 Sc 2.92
8 Tm 0.7500 0.2500 0.5000  4 Sc 2.92
9 Sc 0.0000 0.0000 0.0000  6 Ho 3.33-3.53, 8 Sc 3.55
10 Sc 0.0712 0.1590 0.5000  1 Ho 2.81, 1 Tm 2.92
11 Sc 0.1590 0.6590 0.0878  1 Ho 2.81, 1 Tm 2.92
12 Sc 0.3410 0.4288 0.5000  1 Ho 2.81, 1 Tm 2.92
13 Sc 0.4288 0.9288 0.0878  1 Ho 2.81, 1 Tm 2.92
14 Sc 0.5000 0.5000 0.0000  6 Ho 3.33-3.53, 8 Sc 3.55
15 Sc 0.5712 0.0712 0.9122  1 Ho 2.81, 1 Tm 2.92
16 Sc 0.6590 0.5712 0.5000  1 Ho 2.81, 1 Tm 2.92
17 Sc 0.8410 0.3410 0.9122  1 Ho 2.81, 1 Tm 2.92
18 Sc 0.9288 0.8410 0.5000  1 Ho 2.81, 1 Tm 2.92

***

Number 1: calculated total energy -5.128 eV/atom, V 28.16 Å³ per atom. Number 2: calculated total energy -5.160 eV/atom, V 29.32 Å³ per atom. Number 3: calculated total energy -5.021 eV/atom, V 28.56 Å³ per atom. Number 4: calculated total energy -5.135 eV/atom, V 28.61 Å³ per atom. Number 5: calculated total energy -4.886 eV/atom, V 29.52 Å³ per atom. Number 6: calculated total energy -5.330 eV/atom, V 27.48 Å³ per atom. Number 7: calculated total energy -4.562 eV/atom, V 30.30 Å³ per atom. Number 8: calculated total energy -5.245 eV/atom, V 27.23 Å³ per atom.